{
  "formula": "Rb2AgWO4",
  "functional": "PBE+U",
  "state": "optimized geometry",
  "space_group": "Fddd",
  "dos_ef_per_ev_atom": 0.283,
  "energy_ev_per_atom": -5.313,
  "volume_a3_per_atom": 25.84,
  "lattice": [[0.000, 6.440, 10.766], [2.982, 0.000, 10.766], [2.982, 6.440, 0.000]],
  "species": ["Rb", "Rb", "Rb", "Rb", "Ag", "Ag", "W", "W", "O", "O", "O", "O", "O", "O", "O", "O"],
  "fractional_positions": [[0.049, 0.049, 0.701], [0.299, 0.299, 0.951], [0.701, 0.701, 0.049], [0.951, 0.951, 0.299], [0.125, 0.125, 0.125], [0.875, 0.875, 0.875], [0.375, 0.375, 0.375], [0.625, 0.625, 0.625], [0.073, 0.579, 0.503], [0.346, 0.503, 0.579], [0.421, 0.927, 0.654], [0.497, 0.654, 0.927], [0.503, 0.346, 0.073], [0.579, 0.073, 0.346], [0.654, 0.497, 0.421], [0.927, 0.421, 0.497]]
}